Y4AgIr: relaxed, PBE.

The structure in POSCAR format:
```
Y4AgIr
1.0
-4.7362 2.0699 -8.0697
-9.5798 0.2505 -0.0034
-4.5738 8.3775 -0.8569
Y Ag Ir
16 4 4
Direct
0.3978 0.3978 0.3978
0.8066 0.3978 0.3978
0.3978 0.8066 0.3978
0.3978 0.3978 0.8066
0.5607 0.5607 0.9393
0.9393 0.9393 0.5607
0.5607 0.9393 0.5607
0.9393 0.5607 0.9393
0.9393 0.5607 0.5607
0.5607 0.9393 0.9393
0.1873 0.1873 0.8127
0.8127 0.8127 0.1873
0.1873 0.8127 0.1873
0.8127 0.1873 0.8127
0.8127 0.1873 0.1873
0.1873 0.8127 0.8127
0.1684 0.1684 0.1684
0.4947 0.1684 0.1684
0.1684 0.4947 0.1684
0.1684 0.1684 0.4947
0.6075 0.6075 0.6075
0.1774 0.6075 0.6075
0.6075 0.1774 0.6075
0.6075 0.6075 0.1774
```

Computed properties:
E above lowest polymorph   0.000 eV/atom
Total moment   0.00 μB per formula unit
Space-group type   F-43m, No. 216